# 1
MoRu2I after structural relaxation, computed with PBE-GGA.

Cell: 4.576 4.576 4.576 Å, 60.00 60.00 60.00°
Sites, in units of the cell vectors:
I: 0.500 0.500 0.500
Ru: 0.250 0.250 0.250
Ru: 0.750 0.750 0.750
Mo: 0.000 0.000 0.000

Properties
- E_tot (eV/atom) = -6.68
- formation energy without anion corrections (meV/atom) = 1050.4

# 2
MoRuI2 after structural relaxation, computed with PBE-GGA.

Cell: 6.030 6.030 7.333 Å, 65.72 65.72 90.00°
Sites, in units of the cell vectors:
I: 0.632 0.125 0.250
I: 0.118 0.625 0.250
I: 0.375 0.368 0.750
I: 0.875 0.882 0.750
Ru: 0.000 0.000 0.000
Ru: 0.750 0.250 0.500
Mo: 0.500 0.500 0.000
Mo: 0.250 0.750 0.500

Properties
- E_tot (eV/atom) = -4.70
- formation energy without anion corrections (meV/atom) = 1099.4

# 3
MoRuI3 after structural relaxation, computed with PBE-GGA.

Cell: 5.388 5.388 5.388 Å, 90.00 90.00 90.00°
Sites, in units of the cell vectors:
I: 0.000 0.500 0.000
I: 0.000 0.000 0.500
I: 0.500 0.000 0.000
Ru: 0.000 0.000 0.000
Mo: 0.500 0.500 0.500

Properties
- E_tot (eV/atom) = -3.86
- formation energy without anion corrections (meV/atom) = 1092.1

# 4
MoRu2I after structural relaxation, computed with PBE-GGA.

Cell: 5.817 5.817 6.994 Å, 65.43 65.43 90.00°
Sites, in units of the cell vectors:
I: 0.000 0.000 0.000
I: 0.750 0.250 0.500
Ru: 0.594 0.125 0.250
Ru: 0.156 0.625 0.250
Ru: 0.375 0.406 0.750
Ru: 0.875 0.844 0.750
Mo: 0.500 0.500 0.000
Mo: 0.250 0.750 0.500

Properties
- E_tot (eV/atom) = -6.71
- formation energy without anion corrections (meV/atom) = 1021.4

# 5
MoRu3I after structural relaxation, computed with PBE-GGA.

Cell: 4.748 4.748 4.748 Å, 90.00 90.00 90.00°
Sites, in units of the cell vectors:
I: 0.500 0.500 0.500
Ru: 0.000 0.500 0.000
Ru: 0.000 0.000 0.500
Ru: 0.500 0.000 0.000
Mo: 0.000 0.000 0.000

Properties
- E_tot (eV/atom) = -6.36
- formation energy without anion corrections (meV/atom) = 1678.7

# 6
MoRuI2 after structural relaxation, computed with PBE-GGA.

Cell: 4.795 4.795 4.795 Å, 60.00 60.00 60.00°
Sites, in units of the cell vectors:
I: 0.250 0.250 0.250
I: 0.750 0.750 0.750
Ru: 0.500 0.500 0.500
Mo: 0.000 0.000 0.000

Properties
- E_tot (eV/atom) = -4.73
- formation energy without anion corrections (meV/atom) = 1072.2

# 7
MoRu3I after structural relaxation, computed with PBE-GGA.

Cell: 4.710 4.710 4.710 Å, 90.00 90.00 90.00°
Sites, in units of the cell vectors:
I: 0.000 0.000 0.000
Ru: 0.000 0.500 0.000
Ru: 0.000 0.000 0.500
Ru: 0.500 0.000 0.000
Mo: 0.500 0.500 0.500

Properties
- E_tot (eV/atom) = -5.75
- formation energy without anion corrections (meV/atom) = 2292.7

# 8
Sb2MoRuI after structural relaxation, computed with PBE-GGA.

Cell: 5.033 5.033 5.676 Å, 90.00 90.00 90.00°
Sites, in units of the cell vectors:
I: 0.000 0.000 0.500
Sb: 0.000 0.500 0.000
Sb: 0.500 0.000 0.000
Mo: 0.500 0.500 0.500
Ru: 0.000 0.000 0.000

Properties
- E_tot (eV/atom) = -4.87
- formation energy without anion corrections (meV/atom) = 1107.8

# 9
SnMoRuI2 after structural relaxation, computed with PBE-GGA.

Cell: 5.926 5.389 5.926 Å, 90.00 90.00 90.00°
Sites, in units of the cell vectors:
I: 0.000 0.000 0.500
I: 0.500 0.000 0.000
Ru: 0.500 0.500 0.500
Mo: 0.000 0.500 0.000
Sn: 0.000 0.000 0.000

Properties
- E_tot (eV/atom) = -3.31
- formation energy without anion corrections (meV/atom) = 2129.4

# 10
Ta2MoRuI after structural relaxation, computed with PBE-GGA.

Cell: 4.951 4.657 4.951 Å, 90.00 90.00 90.00°
Sites, in units of the cell vectors:
I: 0.000 0.000 0.000
Ru: 0.000 0.500 0.000
Mo: 0.500 0.500 0.500
Ta: 0.000 0.000 0.500
Ta: 0.500 0.000 0.000

Properties
- E_tot (eV/atom) = -6.85
- formation energy without anion corrections (meV/atom) = 2221.3

# 11
TeMoRuI2 after structural relaxation, computed with PBE-GGA.

Cell: 5.523 5.039 5.523 Å, 90.00 90.00 90.00°
Sites, in units of the cell vectors:
I: 0.000 0.000 0.500
I: 0.500 0.000 0.000
Ru: 0.000 0.000 0.000
Mo: 0.500 0.500 0.500
Te: 0.000 0.500 0.000

Properties
- E_tot (eV/atom) = -4.18
- formation energy without anion corrections (meV/atom) = 1094.2

# 12
ZrMo2RuI after structural relaxation, computed with PBE-GGA.

Cell: 4.790 5.147 4.790 Å, 90.00 90.00 90.00°
Sites, in units of the cell vectors:
I: 0.000 0.000 0.000
Ru: 0.500 0.500 0.500
Mo: 0.000 0.000 0.500
Mo: 0.500 0.000 0.000
Zr: 0.000 0.500 0.000

Properties
- E_tot (eV/atom) = -6.07
- formation energy without anion corrections (meV/atom) = 2133.5